(1)
## Ho2ErIn5 (PBE-GGA)

Data for an optimized crystal structure of Ho2ErIn5.

a b c (Å): 7.0527 7.0527 8.2804
angles (deg): 90.00 90.00 90.00
Space group I4mm (No. 107)
Asymmetric unit:
Ho1 0.0000 0.5000 0.0000 [4 per cell]
Er1 0.0000 0.0000 0.0809 [2 per cell]
In1 0.0000 0.0000 0.4700 [2 per cell]
In2 0.2176 0.2176 0.7586 [8 per cell]

Values from the calculation:
DFT formation energy, eV/f.u.: -3.2
Total energy, eV per formula unit: -30.6
Theoretical density, g cm⁻³: 8.6

***

(2)
## Ho4Er7In (PBE-GGA)

Data for an optimized crystal structure of Ho4Er7In.

a b c (Å): 12.0060 5.7987 12.1577
angles (deg): 90.00 114.29 90.00
Space group C2/m (No. 12)
Asymmetric unit:
Ho1 0.1281 0.0000 0.2695 [4 per cell]
Ho2 0.1435 0.5000 0.1191 [4 per cell]
Er1 0.0000 0.0000 0.5000 [2 per cell]
Er2 0.0981 0.5000 0.7793 [4 per cell]
Er3 0.1312 0.0000 0.9739 [4 per cell]
Er4 0.2016 0.5000 0.4188 [4 per cell]
In1 0.0000 0.5000 0.5000 [2 per cell]

Values from the calculation:
DFT formation energy, eV/f.u.: 2.4
Polymorph energy (0 for the lowest one), meV per atom: 168
Total energy, eV per formula unit: -50.6
Theoretical density, g cm⁻³: 8.4

***

(3)
## Ho4ErIn4 (PBE-GGA)

Data for an optimized crystal structure of Ho4ErIn4.

a b c (Å): 7.1361 7.1361 10.5951
angles (deg): 90.00 90.00 90.00
Space group P4_2/nmc (No. 137, origin choice 2)
Asymmetric unit:
Ho1 0.0230 0.2500 0.1683 [8 per cell]
Er1 0.2500 0.7500 0.2500 [2 per cell]
In1 0.0269 0.2500 0.4677 [8 per cell]

Values from the calculation:
DFT formation energy, eV/f.u.: -1.0
Total energy, eV per formula unit: -34.8
Theoretical density, g cm⁻³: 7.9

***

(4)
## Ho2Er4In (PBE-GGA)

Data for an optimized crystal structure of Ho2Er4In.

a b c (Å): 5.7409 6.5969 11.3601
angles (deg): 90.00 103.82 90.00
Space group P2_1/m (No. 11)
Asymmetric unit:
Ho1 0.0580 0.2500 0.4795 [2 per cell]
Ho2 0.3346 0.7500 0.0733 [2 per cell]
Er1 0.1593 0.0074 0.7876 [4 per cell]
Er2 0.2196 0.2500 0.0665 [2 per cell]
Er3 0.3774 0.7500 0.3713 [2 per cell]
In1 0.4771 0.2500 0.3405 [2 per cell]

Values from the calculation:
DFT formation energy, eV/f.u.: -0.2
Polymorph energy (0 for the lowest one), meV per atom: 16
Total energy, eV per formula unit: -30.3
Theoretical density, g cm⁻³: 8.9

***

(5)
## HoEr6In6 (PBE-GGA)

Data for an optimized crystal structure of HoEr6In6.

a b c (Å): 6.2236 6.2236 10.6459
angles (deg): 90.00 90.00 120.00
Space group P6/mmm (No. 191)
Asymmetric unit:
Ho1 0.0000 0.0000 0.0000 [1 per cell]
Er1 0.0000 0.0000 0.3394 [2 per cell]
Er2 0.3333 0.6667 0.0000 [2 per cell]
Er3 0.3333 0.6667 0.5000 [2 per cell]
In1 0.0000 0.5000 0.2459 [6 per cell]

Values from the calculation:
DFT formation energy, eV/f.u.: -3.9
Total energy, eV per formula unit: -52.3
Theoretical density, g cm⁻³: 8.6

***

(6)
## HoErIn6 (PBE-GGA)

Data for an optimized crystal structure of HoErIn6.

a b c (Å): 4.6233 4.6233 9.2542
angles (deg): 90.00 90.00 90.00
Space group P4/mmm (No. 123)
Asymmetric unit:
Ho1 0.0000 0.0000 0.0000 [1 per cell]
Er1 0.0000 0.0000 0.5000 [1 per cell]
In1 0.0000 0.5000 0.2505 [4 per cell]
In2 0.5000 0.5000 0.0000 [1 per cell]
In3 0.5000 0.5000 0.5000 [1 per cell]

Values from the calculation:
DFT formation energy, eV/f.u.: -3.1
Total energy, eV per formula unit: -28.7
Theoretical density, g cm⁻³: 8.6